<a>
Here is a relaxed structure of RbSi2Pd from the Alexandria database. Energies are from PBE.

Cell: 4.1746 4.1746 8.1674 Å, 75.19 75.19 60.00°
Element x y z (fractional)
1 Rb 0.0000 0.0000 0.0000
2 Pd 0.5000 0.5000 0.5000
3 Si 0.8587 0.8587 0.4239
4 Si 0.1413 0.1413 0.5761

The calculation puts the density at 3.50 g cm⁻³. As for the spin magnetization: 0.00 μB per formula unit.

<b>
Here is a relaxed structure of RbSi2Pd from the Alexandria database. Energies are from PBE.

Cell: 3.3382 3.3382 7.8050 Å, 90.00 90.00 90.00°
Element x y z (fractional)
1 Pd 0.5000 0.5000 0.0000
2 Rb 0.5000 0.5000 0.5000
3 Si 0.0000 0.0000 0.8425
4 Si 0.0000 0.0000 0.1575

The calculation puts the density at 4.74 g cm⁻³. As for the spin magnetization: 0.00 μB per formula unit.

<c>
Here is a relaxed structure of RbSi2Pd from the Alexandria database. Energies are from PBE.

Cell: 5.2201 5.2201 8.7956 Å, 72.74 72.74 90.00°
Element x y z (fractional)
1 Si 0.8749 0.1250 0.2500
2 Si 0.3750 0.1251 0.7500
3 Si 0.8750 0.1249 0.7500
4 Si 0.8751 0.6250 0.2500
5 Pd 0.7500 0.2500 0.5000
6 Pd 0.0000 0.0000 0.0000
7 Rb 0.2500 0.7500 0.5000
8 Rb 0.5000 0.5000 0.0000

The calculation puts the density at 3.79 g cm⁻³. As for the spin magnetization: 0.00 μB per formula unit.

<d>
Here is a relaxed structure of RbSi2Pd from the Alexandria database. Energies are from PBE.

Cell: 4.8320 4.8320 4.8320 Å, 60.00 60.00 60.00°
Element x y z (fractional)
1 Rb 0.0000 0.0000 0.0000
2 Si 0.2500 0.2500 0.2500
3 Si 0.7500 0.7500 0.7500
4 Pd 0.5000 0.5000 0.5000

The calculation puts the density at 5.16 g cm⁻³. As for the spin magnetization: 0.00 μB per formula unit.

Stability check: which of them is least stable? <d>.

<a>
Here is a relaxed structure of Rb2Sn2Pd from the Alexandria database. Energies are from PBE.

Cell: 4.6175 4.6175 11.7466 Å, 78.66 78.66 60.00°
Element x y z (fractional)
1 Rb 0.5698 0.5698 0.2905
2 Rb 0.4302 0.4302 0.7095
3 Pd 0.0000 0.0000 0.0000
4 Sn 0.6916 0.6916 0.9251
5 Sn 0.3084 0.3084 0.0749

The calculation puts the density at 4.05 g cm⁻³. As for the spin magnetization: 0.03 μB per formula unit.

<b>
Here is a relaxed structure of Rb2Sn2Pd from the Alexandria database. Energies are from PBE.

Cell: 7.1967 7.1967 6.2372 Å, 90.00 90.00 90.00°
Element x y z (fractional)
1 Pd 0.0000 0.0000 0.0000
2 Pd 0.5000 0.5000 0.0000
3 Sn 0.8569 0.6431 0.0000
4 Sn 0.1431 0.3569 0.0000
5 Sn 0.3569 0.8569 0.0000
6 Sn 0.6431 0.1431 0.0000
7 Rb 0.1816 0.6816 0.5000
8 Rb 0.3184 0.1816 0.5000
9 Rb 0.6816 0.8184 0.5000
10 Rb 0.8184 0.3184 0.5000

The calculation puts the density at 5.29 g cm⁻³. As for the spin magnetization: 0.00 μB per formula unit.

Stability check: which of them is least stable? <b>.

<a>
Here is a relaxed structure of RbSnPd3 from the Alexandria database. Energies are from PBE.

Cell: 5.1335 5.1335 5.1335 Å, 90.00 90.00 90.00°
Element x y z (fractional)
1 Pd 0.0000 0.0000 0.5000
2 Pd 0.5000 0.0000 0.0000
3 Pd 0.0000 0.5000 0.0000
4 Sn 0.0000 0.0000 0.0000
5 Rb 0.5000 0.5000 0.5000

The calculation puts the density at 6.42 g cm⁻³. As for the spin magnetization: 0.00 μB per formula unit.

<b>
Here is a relaxed structure of RbSnPd3 from the Alexandria database. Energies are from PBE.

Cell: 5.1300 5.1300 5.1300 Å, 90.00 90.00 90.00°
Element x y z (fractional)
1 Pd 0.0000 0.5000 0.0000
2 Pd 0.5000 0.0000 0.0000
3 Pd 0.0000 0.0000 0.5000
4 Sn 0.5000 0.5000 0.5000
5 Rb 0.0000 0.0000 0.0000

The calculation puts the density at 6.44 g cm⁻³. As for the spin magnetization: 0.00 μB per formula unit.

Stability check: which of them is least stable? <b>.

<a>
Here is a relaxed structure of RbSr2Pd from the Alexandria database. Energies are from PBE.

Cell: 5.9184 5.9184 5.9184 Å, 60.00 60.00 60.00°
Element x y z (fractional)
1 Sr 0.7500 0.7500 0.7500
2 Sr 0.2500 0.2500 0.2500
3 Rb 0.0000 0.0000 0.0000
4 Pd 0.5000 0.5000 0.5000

The calculation puts the density at 4.16 g cm⁻³. As for the spin magnetization: 0.00 μB per formula unit.

<b>
Here is a relaxed structure of RbSr2Pd from the Alexandria database. Energies are from PBE.

Cell: 4.4785 4.4785 12.2969 Å, 79.51 79.51 60.00°
Element x y z (fractional)
1 Pd 0.5000 0.5000 0.5000
2 Sr 0.8782 0.8782 0.3654
3 Sr 0.1218 0.1218 0.6346
4 Rb 0.0000 0.0000 0.0000

The calculation puts the density at 2.92 g cm⁻³. As for the spin magnetization: 0.00 μB per formula unit.

<c>
Here is a relaxed structure of RbSr2Pd from the Alexandria database. Energies are from PBE.

Cell: 3.9353 3.9353 11.3886 Å, 90.00 90.00 90.00°
Element x y z (fractional)
1 Sr 0.0000 0.0000 0.1543
2 Sr 0.0000 0.0000 0.8457
3 Rb 0.5000 0.5000 0.5000
4 Pd 0.5000 0.5000 0.0000

The calculation puts the density at 3.46 g cm⁻³. As for the spin magnetization: 0.00 μB per formula unit.

<d>
Here is a relaxed structure of RbSr2Pd from the Alexandria database. Energies are from PBE.

Cell: 10.1007 10.1007 8.0859 Å, 51.35 51.35 90.00°
Element x y z (fractional)
1 Sr 0.8750 0.9922 0.7500
2 Sr 0.0078 0.6250 0.2500
3 Sr 0.7422 0.1250 0.2500
4 Sr 0.3750 0.2578 0.7500
5 Rb 0.2500 0.7500 0.5000
6 Rb 0.5000 0.5000 0.0000
7 Pd 0.0000 0.0000 0.0000
8 Pd 0.7500 0.2500 0.5000

The calculation puts the density at 3.15 g cm⁻³. As for the spin magnetization: 0.00 μB per formula unit.

Stability check: which of them is least stable? <a>.